# CaCr2O PBE with a Hubbard U relaxed
data_CaCr2O
_chemical_formula_sum 'Ca2 Cr4 O2'
_cell_length_a 6.446
_cell_length_b 6.446
_cell_length_c 6.446
_cell_angle_alpha 60.00
_cell_angle_beta 60.00
_cell_angle_gamma 60.00
_symmetry_space_group_name_H-M 'P 1'
_symmetry_Int_Tables_number 1
loop_
_symmetry_equiv_pos_as_xyz
'x,y,z'
loop_
_atom_site_label
_atom_site_type_symbol
_atom_site_fract_x
_atom_site_fract_y
_atom_site_fract_z
_atom_site_occupancy
Ca1 Ca 0.125 0.125 0.125 1
Ca2 Ca 0.875 0.875 0.875 1
Cr1 Cr 0.000 0.500 0.500 1
Cr2 Cr 0.500 0.000 0.500 1
Cr3 Cr 0.500 0.500 0.000 1
Cr4 Cr 0.500 0.500 0.500 1
O1 O 0.375 0.375 0.375 1
O2 O 0.625 0.625 0.625 1
# M_tot in μB per cell: 16.05
# DOS at the Fermi energy in states/eV per cell: 3.97
# DFT total energy in eV per atom: -6.038